w:
A relaxed KEuBr2 crystal. Source: Alexandria via LeMat-Bulk, functional PBE.

The total moment comes out at 7.88 μB/cell. Its density of states at the Fermi level is 1.030 states/eV/f.u.

The space group is P4/mmm (No. 123) and the conventional cell measures 3.887, 3.887 and 8.181 Å, with angles of 90.00, 90.00 and 90.00 degrees. Symmetry generates all atoms from K at (0.000, 0.000, 0.000), Eu at (0.000, 0.000, 0.500) and Br at (0.500, 0.500, 0.267).

x:
A relaxed KEuBr2 crystal. Source: Alexandria via LeMat-Bulk, functional PBE.

The total moment comes out at 21.35 μB/cell. Its density of states at the Fermi level is 1.172 states/eV/f.u.

The space group is R-3m (No. 166, hexagonal axes) and the conventional cell measures 4.5359, 4.5359 and 31.3403 Å, with angles of 90.00, 90.00 and 120.00 degrees. Symmetry generates all atoms from K at (0.0000, 0.0000, 0.0000), Eu at (0.0000, 0.0000, 0.5000) and Br at (0.0000, 0.0000, 0.1154).

It is x that is the most stable of them.

w:
A relaxed Eu2MgBr crystal. Source: Alexandria via LeMat-Bulk, functional PBE.

The total moment comes out at 15.06 μB/cell. Its density of states at the Fermi level is 3.244 states/eV/f.u.

The space group is P4/mmm (No. 123) and the conventional cell measures 3.777, 3.777 and 8.899 Å, with angles of 90.00, 90.00 and 90.00 degrees. Symmetry generates all atoms from Eu at (0.000, 0.000, 0.249), Mg at (0.500, 0.500, 0.500) and Br at (0.500, 0.500, 0.000).

x:
A relaxed Eu2MgBr crystal. Source: Alexandria via LeMat-Bulk, functional PBE.

The total moment comes out at 46.76 μB/cell. Its density of states at the Fermi level is 12.103 states/eV/f.u.

The space group is R-3m (No. 166, hexagonal axes) and the conventional cell measures 3.9584, 3.9584 and 29.4964 Å, with angles of 90.00, 90.00 and 120.00 degrees. Symmetry generates all atoms from Eu at (0.0000, 0.0000, 0.2439), Mg at (0.0000, 0.0000, 0.0000) and Br at (0.0000, 0.0000, 0.5000).

It is x that is the most stable of them.

w:
A relaxed Eu2NiBr crystal. Source: Alexandria via LeMat-Bulk, functional PBE.

The total moment comes out at 43.22 μB/cell. Its density of states at the Fermi level is 19.304 states/eV/f.u.

The space group is R-3m (No. 166, hexagonal axes) and the conventional cell measures 4.1138, 4.1138 and 23.2863 Å, with angles of 90.00, 90.00 and 120.00 degrees. Symmetry generates all atoms from Eu at (0.0000, 0.0000, 0.2358), Ni at (0.0000, 0.0000, 0.5000) and Br at (0.0000, 0.0000, 0.0000).

x:
A relaxed Eu2NiBr crystal. Source: Alexandria via LeMat-Bulk, functional PBE.

The total moment comes out at 14.47 μB/cell. Its density of states at the Fermi level is 11.356 states/eV/f.u.

The space group is P4/mmm (No. 123) and the conventional cell measures 3.588, 3.588 and 7.961 Å, with angles of 90.00, 90.00 and 90.00 degrees. Symmetry generates all atoms from Eu at (0.000, 0.000, 0.216), Ni at (0.500, 0.500, 0.000) and Br at (0.500, 0.500, 0.500).

It is w that is the most stable of them.